[1]
# ZrTlPb2, optimized geometry, DFT PBE-GGA
# **N(E_F)**: 2.5 states/eV per cell
# **Formation energy from the elements**: 114.7 meV per atom
# **Energy above the lowest structure with this stoichiometry**: 53 kJ/mol of formula units
# **Total moment**: 0.00 μB/atom
data_ZrTlPb2
_cell_length_a 5.116
_cell_length_b 5.116
_cell_length_c 4.056
_cell_angle_alpha 90.00
_cell_angle_beta 90.00
_cell_angle_gamma 90.00
_space_group_name_H-M_alt 'P 4/m m m'
_space_group_IT_number 123
_space_group_name_Hall '-P 4 2'
loop_
_atom_site_label
_atom_site_fract_x
_atom_site_fract_y
_atom_site_fract_z
Zr1 0.000 0.000 0.000
Tl1 0.500 0.500 0.000
Pb1 0.000 0.500 0.500

---

[2]
# Zr2TlPb, optimized geometry, DFT PBE-GGA
# **N(E_F)**: 28.8 states/eV per cell
# **Formation energy from the elements**: 54.7 meV per atom
# **Energy above the lowest structure with this stoichiometry**: 60 kJ/mol of formula units
# **Total moment**: 0.00 μB/atom
data_Zr2TlPb
_cell_length_a 7.235
_cell_length_b 7.235
_cell_length_c 7.235
_cell_angle_alpha 90.00
_cell_angle_beta 90.00
_cell_angle_gamma 90.00
_space_group_name_H-M_alt 'F m -3 m'
_space_group_IT_number 225
_space_group_name_Hall '-F 4 2 3'
loop_
_atom_site_label
_atom_site_fract_x
_atom_site_fract_y
_atom_site_fract_z
Zr1 0.250 0.250 0.250
Tl1 0.000 0.000 0.000
Pb1 0.000 0.000 0.500